(1)
The following is a DFT calculation (GGA-PBEsol) of a geometry-optimized CoNi3 structure.

Summary:
E_form   0.05 eV per formula unit
Calculated density   9.4 Mg/m³
Density of states at the Fermi level   5.5 states/eV/cell
Space-group type   Pmm2, No. 25

Cell lengths 2.435, 3.994, 4.266 Å; angles 90.00, 90.00, 90.00 degrees
Fractional coordinates of all 4 atoms:
Co 0.000 0.000 0.000
Ni 0.000 0.500 0.327
Ni 0.500 0.000 0.500
Ni 0.500 0.500 0.827

***

(2)
The following is a DFT calculation (GGA-PBEsol) of a geometry-optimized CoNi3 structure.

Summary:
E_form   0.03 eV per formula unit
Calculated density   9.4 Mg/m³
Density of states at the Fermi level   5.4 states/eV/cell
Space-group type   P-6m2, No. 187

Cell lengths 2.453, 2.453, 7.981 Å; angles 90.00, 90.00, 120.00 degrees
Fractional coordinates of all 4 atoms:
Co 0.000 0.000 0.000
Ni 0.000 0.000 0.500
Ni 0.667 0.333 0.247
Ni 0.667 0.333 0.753

***

Q: The lowest density of states at the Fermi level belongs to which entry?
A: number 2